VASP calculation (PBE) on an optimized crystal structure of CeTm3P4.

- Crystal system: monoclinic
- Volume: 356 Å³/cell
- Magnetization: 0.32 μB/f.u.
- Energy relative to the elements: -1.580 eV/atom

```
CeTm3P4
1.0
-6.407 -2.549 -0.103
4.169 -4.120 -3.615
1.562 -4.191 6.579
Tm P Ce
6 8 2
Cartesian
-4.217 -3.491 2.402
1.846 -6.355 3.907
-2.522 -4.506 -1.046
-0.628 -3.249 4.074
-1.748 -6.583 2.215
1.072 -4.277 0.647
-2.691 -7.207 -0.327
-0.784 -5.980 4.776
0.108 -4.881 -1.915
2.015 -3.653 3.188
-1.573 -3.896 1.517
-1.930 -9.283 2.943
1.254 -1.578 -0.082
0.897 -6.964 1.344
-3.442 -5.570 5.666
-1.403 -1.170 0.810
```